SrCaHgAu, optimized geometry, DFT PBE; magnetic moment = 0.0 μB per cell; uncorrected energy = -2.44 eV/atom; mass density = 7.312 g/cm³; formation energy = -625 meV per atom
1.0
4.2522 0.0000 0.0000
0.0000 4.8036 0.0000
-2.1261 0.0000 5.8394
Au Hg Sr Ca
1 1 1 1
Direct
0.5823 0.5000 0.1646
0.4230 0.0000 0.8459
0.8569 0.5000 0.7138
0.1379 0.0000 0.2757